Entry 1:
Ac2MgScS6 | PBE | relaxed

a b c (Å): 6.484 7.449 11.681
angles (deg): 90.00 123.15 90.00
Space group P2_1/c (No. 14)
Unique sites:
Ac 0.213 0.097 0.250
Mg 0.000 0.000 0.500
Sc 0.500 0.000 0.000
S 0.128 0.187 0.952
S 0.277 0.692 0.952
S 0.343 0.021 0.749

Results
V = 472.4 Å³ per cell
ΔE_f (raw) = -1.80 eV/atom
N(E_F) = 0.7359 states/eV/atom

***

Entry 2:
Hf2AsPb | PBE | relaxed

a b c (Å): 3.8015 3.8015 21.6985
angles (deg): 90.00 90.00 120.00
Space group R-3m (No. 166, hexagonal axes)
Unique sites:
Hf 0.0000 0.0000 0.2345
As 0.0000 0.0000 0.5000
Pb 0.0000 0.0000 0.0000

Results
V = 271.6 Å³ per cell
calculated total energy = -7.449 eV/atom
N(E_F) = 0.9420 states/eV/atom

***

Entry 3:
InRhSBr2 | PBE | relaxed

a b c (Å): 4.845 4.845 5.969
angles (deg): 90.00 90.00 90.00
Space group P4/mmm (No. 123)
Unique sites:
In 0.000 0.000 0.000
Rh 0.500 0.500 0.000
S 0.000 0.000 0.500
Br 0.000 0.500 0.500

Results
V = 140.1 Å³ per cell
ΔE_f (raw) = 0.78 eV/atom
N(E_F) = 0.7930 states/eV/atom

***

Entry 4:
PmTmCuPd | PBE | relaxed

a b c (Å): 4.588 3.776 10.438
angles (deg): 90.00 90.00 90.00
Space group Amm2 (No. 38)
Unique sites:
Pm 0.000 0.000 0.000
Tm 0.500 0.000 0.722
Cu 0.000 0.000 0.280
Pd 0.500 0.000 0.434

Results
V = 180.8 Å³ per cell
calculated total energy = -5.193 eV/atom
N(E_F) = 0.6473 states/eV/atom